A relaxed structure of TbSmAl2Pd4. Source: OQMD, functional PBE.

abc: 4.381 4.381 9.260
angles: 90.00 90.00 120.00
Atoms (fractional coordinates):
Al: 0.667 0.333 0.745
Tb: 0.333 0.667 0.500
Sm: 0.000 0.000 0.000
Pd: 0.000 0.000 0.668
Al: 0.667 0.333 0.255
Pd: 0.333 0.667 0.820
Pd: 0.000 0.000 0.332
Pd: 0.333 0.667 0.180

Results
Total magnetic moment = 0.00 μB per cell
Symmetry = P-6m2

=====

A relaxed structure of AlSnPd2. Source: OQMD, functional PBE.

abc: 3.346 3.346 14.761
angles: 90.00 90.00 120.00
Atoms (fractional coordinates):
Pd: 0.667 0.333 0.859
Al: 0.333 0.667 0.750
Pd: 0.333 0.667 0.141
Pd: 0.333 0.667 0.359
Al: 0.667 0.333 0.250
Sn: 0.000 0.000 0.500
Pd: 0.667 0.333 0.641
Sn: 0.000 0.000 0.000

Results
Symmetry = P6_3/mmc

=====

| no. | electronic total energy (eV per atom) | theoretical density (g/cm3) |
| --- | --- | --- |
| 1 | -5.616 | 8.51 |
| 2 | -5.050 | 8.32 |